# 1
Below is an optimized crystal structure of BaCu2AgBr6, with properties calculated at the GGA-PBE level.

Results
E_form (uncorrected), eV/atom: -0.818

Structure (CIF):
```
data_BaCu2AgBr6
_chemical_formula_sum 'Ba3 Cu6 Ag3 Br18'
_symmetry_space_group_name_H-M 'R -3'
_symmetry_Int_Tables_number 148
_symmetry_space_group_name_Hall '-R 3'
_cell_length_a 7.2417
_cell_length_b 7.2417
_cell_length_c 22.1632
_cell_angle_alpha 90.00
_cell_angle_beta 90.00
_cell_angle_gamma 120.00
loop_
_atom_site_label
_atom_site_type_symbol
_atom_site_fract_x
_atom_site_fract_y
_atom_site_fract_z
_atom_site_occupancy
Ba1 Ba 0.0000 0.0000 0.0000 1
Cu1 Cu 0.0000 0.0000 0.2424 1
Ag1 Ag 0.0000 0.0000 0.5000 1
Br1 Br 0.0047 0.6423 0.0893 1
```

---

# 2
Below is an optimized crystal structure of Pd4Au5, with properties calculated at the GGA-PBE level.

Results
Formation energy from the elements, eV/atom: -0.0649
Polymorph energy (0 for the lowest one), meV per atom: 12

Structure (CIF):
```
data_Pd4Au5
_chemical_formula_sum 'Pd8 Au10'
_symmetry_space_group_name_H-M 'C 1 2/m 1'
_symmetry_Int_Tables_number 12
_symmetry_space_group_name_Hall '-C 2y'
_cell_length_a 12.477
_cell_length_b 8.640
_cell_length_c 2.881
_cell_angle_alpha 90.00
_cell_angle_beta 102.96
_cell_angle_gamma 90.00
loop_
_atom_site_label
_atom_site_type_symbol
_atom_site_fract_x
_atom_site_fract_y
_atom_site_fract_z
_atom_site_occupancy
Pd1 Pd 0.167 0.168 0.168 1
Au1 Au 0.000 0.000 0.500 1
Au2 Au 0.000 0.331 0.500 1
Au3 Au 0.172 0.500 0.173 1
```

---

# 3
Below is an optimized crystal structure of Zr3PtS, with properties calculated at the GGA-PBE level.

Results
E_form (uncorrected), eV/atom: -0.551
Polymorph energy (0 for the lowest one), meV per atom: 411

Structure (CIF):
```
data_Zr3PtS
_chemical_formula_sum 'Zr3 Pt1 S1'
_symmetry_space_group_name_H-M 'P m -3 m'
_symmetry_Int_Tables_number 221
_symmetry_space_group_name_Hall '-P 4 2 3'
_cell_length_a 4.739
_cell_length_b 4.739
_cell_length_c 4.739
_cell_angle_alpha 90.00
_cell_angle_beta 90.00
_cell_angle_gamma 90.00
loop_
_atom_site_label
_atom_site_type_symbol
_atom_site_fract_x
_atom_site_fract_y
_atom_site_fract_z
_atom_site_occupancy
Zr1 Zr 0.000 0.000 0.500 1
Pt1 Pt 0.500 0.500 0.500 1
S1 S 0.000 0.000 0.000 1
```

---

# 4
Below is an optimized crystal structure of LaSnB2O6, with properties calculated at the GGA-PBE level.

Results
E_form (uncorrected), eV/atom: -2.420

Structure (CIF):
```
data_LaSnB2O6
_chemical_formula_sum 'La4 Sn4 B8 O24'
_symmetry_space_group_name_H-M 'C 1 2/c 1'
_symmetry_Int_Tables_number 15
_symmetry_space_group_name_Hall '-C 2yc'
_cell_length_a 8.639
_cell_length_b 9.858
_cell_length_c 6.522
_cell_angle_alpha 90.00
_cell_angle_beta 107.69
_cell_angle_gamma 90.00
loop_
_atom_site_label
_atom_site_type_symbol
_atom_site_fract_x
_atom_site_fract_y
_atom_site_fract_z
_atom_site_occupancy
La1 La 0.000 0.118 0.250 1
Sn1 Sn 0.000 0.412 0.750 1
B1 B 0.245 0.154 0.756 1
O1 O 0.105 0.405 0.120 1
O2 O 0.124 0.074 0.631 1
O3 O 0.233 0.293 0.754 1
```

---

# 5
Below is an optimized crystal structure of Mg2As7Rh12, with properties calculated at the GGA-PBE level.

Results
Formation energy from the elements, eV/atom: -0.5085

Structure (CIF):
```
data_Mg2As7Rh12
_chemical_formula_sum 'Mg2 As7 Rh12'
_symmetry_space_group_name_H-M 'P -6'
_symmetry_Int_Tables_number 174
_symmetry_space_group_name_Hall 'P -6'
_cell_length_a 10.1113
_cell_length_b 10.1113
_cell_length_c 3.7212
_cell_angle_alpha 90.00
_cell_angle_beta 90.00
_cell_angle_gamma 120.00
loop_
_atom_site_label
_atom_site_type_symbol
_atom_site_fract_x
_atom_site_fract_y
_atom_site_fract_z
_atom_site_occupancy
Mg1 Mg 0.0000 0.0000 0.0000 1
Mg2 Mg 0.3333 0.6667 0.5000 1
As1 As 0.0686 0.4465 0.0000 1
As2 As 0.2617 0.2239 0.5000 1
As3 As 0.6667 0.3333 0.0000 1
Rh1 Rh 0.0441 0.2575 0.5000 1
Rh2 Rh 0.1248 0.7111 0.0000 1
Rh3 Rh 0.3963 0.1855 0.0000 1
Rh4 Rh 0.5297 0.4457 0.5000 1
```

---

# 6
Below is an optimized crystal structure of LaCo2Hg, with properties calculated at the GGA-PBE level.

Results
Formation energy from the elements, eV/atom: 0.1763

Structure (CIF):
```
data_LaCo2Hg
_chemical_formula_sum 'La2 Co4 Hg2'
_symmetry_space_group_name_H-M 'I m m 2'
_symmetry_Int_Tables_number 44
_symmetry_space_group_name_Hall 'I 2 -2'
_cell_length_a 3.805
_cell_length_b 4.325
_cell_length_c 10.237
_cell_angle_alpha 90.00
_cell_angle_beta 90.00
_cell_angle_gamma 90.00
loop_
_atom_site_label
_atom_site_type_symbol
_atom_site_fract_x
_atom_site_fract_y
_atom_site_fract_z
_atom_site_occupancy
La1 La 0.000 0.000 0.000 1
Co1 Co 0.000 0.000 0.408 1
Co2 Co 0.000 0.500 0.789 1
Hg1 Hg 0.000 0.500 0.237 1
```

---

no.,volume (Å³/cell),DOS(E_F) (states/eV/cell),final energy (eV/f.u.)
1,1006.57,33.63,-31.18
2,302.68,11.84,-37.74
3,106.40,3.45,-38.57
4,529.19,4.33,-76.24
5,329.48,10.50,-134.63
6,168.46,8.86,-18.74